No. 1
Entry from OQMD via LeMat-Bulk: an optimized crystal structure of Sr2NbS4 (PBE).

Results
space group	No. 40
electronic total energy	-0.21193	Ha/atom

abc: 9.9626 6.3520 6.3520
angles: 109.74 90.00 90.00
Last column: nearest neighbours and their distance in Å.
Sites, in units of the cell vectors:
Sr  0.0000  0.7872  0.7872  6 S 2.94-3.11
Sr  0.2500  0.5198  0.1376  4 S 2.87-3.10
Sr  0.7500  0.1376  0.5198  4 S 2.87-3.10
Sr  0.5000  0.7872  0.7872  6 S 2.94-3.11
S  0.5594  0.3613  0.9086  1 Nb 2.34
S  0.4406  0.9086  0.3613  1 Nb 2.34
S  0.7500  0.8989  0.0468  1 Nb 2.36
S  0.2500  0.0468  0.8989  1 Nb 2.36
S  0.2500  0.4848  0.6124  1 Nb 2.36
S  0.9406  0.3613  0.9086  1 Nb 2.34
S  0.7500  0.6124  0.4848  1 Nb 2.36
S  0.0594  0.9086  0.3613  1 Nb 2.34
Nb  0.2500  0.0965  0.5475  4 S 2.34-2.36
Nb  0.7500  0.5475  0.0965  4 S 2.34-2.36


No. 2
Entry from OQMD via LeMat-Bulk: an optimized crystal structure of AcAgO3 (PBE).

Results
space group	No. 99
electronic total energy	-0.21797	Ha/atom

abc: 4.1042 4.1042 4.1235
angles: 90.00 90.00 90.00
Last column: nearest neighbours and their distance in Å.
Sites, in units of the cell vectors:
O  0.0000  0.5000  0.5961  2 Ag 2.05
O  0.5000  0.5000  0.0778  2 Ag 2.06
O  0.5000  0.0000  0.5961  2 Ag 2.05
Ag  0.5000  0.5000  0.5771  6 O 2.05-2.06
Ac  0.0000  0.0000  0.0530  12 O 2.79-3.04


No. 3
Entry from OQMD via LeMat-Bulk: an optimized crystal structure of YAgBAu (PBE).

Results
space group	No. 216
excess energy over the best structure of this formula in the dataset	0	meV per atom

abc: 4.6691 4.6691 4.6691
angles: 60.00 60.00 60.00
Last column: nearest neighbours and their distance in Å.
Sites, in units of the cell vectors:
Au  0.7500  0.7500  0.7500  4 Ag 2.86, 4 Y 2.86
Y  0.0000  0.0000  0.0000  4 B 2.86, 4 Au 2.86
B  0.2500  0.2500  0.2500  4 Y 2.86, 4 Ag 2.86
Ag  0.5000  0.5000  0.5000  4 Au 2.86, 4 B 2.86